Arrangement P

Compound: GdPbF
Source: the Alexandria database
Functional: GGA-PBE
Structure: optimized geometry

Cell and atoms, written as extended XYZ:
```
3
Lattice="-5.069 -1.094 -1.487 -0.265 -2.686 2.879 -1.015 3.749 0.700" Properties=species:S:1:pos:R:3 pbc="T T T"
Pb -3.894 -1.271 1.161
Gd -0.845 -0.182 -0.248
F -1.609 1.422 1.179
```

- D(E_F): 1.97 states/eV per cell
- Space-group type: P-6m2

Arrangement Q

Compound: GdPbF
Source: the Alexandria database
Functional: GGA-PBE
Structure: optimized geometry

Cell and atoms, written as extended XYZ:
```
3
Lattice="-2.155 2.273 -1.269 -1.721 -2.480 -1.520 -1.552 -0.474 6.288" Properties=species:S:1:pos:R:3 pbc="T T T"
Pb -0.038 -0.006 0.053
Gd -3.488 -0.360 0.780
F -1.902 -0.315 2.668
```

- D(E_F): 2.41 states/eV per cell
- Space-group type: I4mm

Each structure's energy above the most stable one, in kJ/mol of atoms: arrangement P 0.0; arrangement Q 18.3.

Arrangement P

Compound: Gd2TlF
Source: the Alexandria database
Functional: GGA-PBE
Structure: optimized geometry

Cell and atoms, written as extended XYZ:
```
4
Lattice="3.389 0.000 0.000 0.000 3.389 0.000 0.000 0.000 8.064" Properties=species:S:1:pos:R:3 pbc="T T T"
Tl 1.695 1.695 4.032
Gd 0.000 0.000 6.242
Gd 0.000 0.000 1.822
F 1.695 1.695 0.000
```

- D(E_F): 5.76 states/eV per cell
- Space-group type: P4/mmm

Arrangement Q

Compound: Gd2TlF
Source: the Alexandria database
Functional: GGA-PBE
Structure: optimized geometry

Cell and atoms, written as extended XYZ:
```
4
Lattice="-2.456 1.409 -2.512 0.339 -0.865 -3.670 -5.248 -5.920 -1.042" Properties=species:S:1:pos:R:3 pbc="T T T"
Tl -3.682 -2.688 -3.612
Gd -5.828 -4.440 -5.350
Gd -1.537 -0.936 -1.874
F 0.000 0.000 0.000
```

- D(E_F): 2.47 states/eV per cell
- Space-group type: R-3m

Each structure's energy above the most stable one, in kJ/mol of atoms: arrangement P 19.9; arrangement Q 0.0.

Arrangement P

Compound: GeF
Source: the Alexandria database
Functional: GGA-PBE
Structure: optimized geometry

Cell and atoms, written as extended XYZ:
```
4
Lattice="4.107 0.000 0.000 0.000 3.668 0.373 0.000 -0.448 4.442" Properties=species:S:1:pos:R:3 pbc="T T T"
Ge 1.027 0.488 4.331
Ge 3.080 2.732 0.483
F 1.027 0.671 2.527
F 3.080 2.549 2.288
```

- D(E_F): 0.53 states/eV per cell
- Space-group type: Pmmn

Arrangement Q

Compound: GeF
Source: the Alexandria database
Functional: GGA-PBE
Structure: optimized geometry

Cell and atoms, written as extended XYZ:
```
12
Lattice="6.694 0.000 0.000 0.000 6.694 0.000 0.000 0.000 6.694" Properties=species:S:1:pos:R:3 pbc="T T T"
Ge 1.674 0.000 3.347
Ge 5.021 0.000 3.347
Ge 0.000 3.347 1.674
Ge 0.000 3.347 5.021
Ge 3.347 1.674 0.000
Ge 3.347 5.021 0.000
F 1.674 3.347 0.000
F 5.021 3.347 0.000
F 3.347 0.000 1.674
F 3.347 0.000 5.021
F 0.000 1.674 3.347
F 0.000 5.021 3.347
```

- D(E_F): 6.38 states/eV per cell
- Space-group type: Pm-3n

Each structure's energy above the most stable one, in kJ/mol of atoms: arrangement P 0.0; arrangement Q 74.8.

Arrangement P

Compound: GeF
Source: the Alexandria database
Functional: GGA-PBE
Structure: optimized geometry

Cell and atoms, written as extended XYZ:
```
4
Lattice="4.250 0.000 0.000 -2.125 3.681 0.000 0.000 0.000 5.002" Properties=species:S:1:pos:R:3 pbc="T T T"
Ge 0.000 2.454 3.752
Ge 2.125 1.227 1.251
F 0.000 2.454 1.251
F 2.125 1.227 3.752
```

- D(E_F): 1.84 states/eV per cell
- Space-group type: P6_3/mmc

Arrangement Q

Compound: GeF
Source: the Alexandria database
Functional: GGA-PBE
Structure: optimized geometry

Cell and atoms, written as extended XYZ:
```
8
Lattice="-3.895 3.198 0.903 -3.104 -3.003 -2.750 -1.188 -2.639 4.223" Properties=species:S:1:pos:R:3 pbc="T T T"
Ge -4.093 -1.222 1.188
Ge -1.947 1.599 0.452
Ge -1.552 -1.502 -1.375
Ge -0.594 -1.320 2.112
F 0.000 0.000 0.000
F -2.146 -2.821 0.737
F -2.541 0.280 2.563
F -3.499 0.098 -0.923
```

- D(E_F): 2.89 states/eV per cell
- Space-group type: Fm-3m

Arrangement R

Compound: GeF
Source: the Alexandria database
Functional: GGA-PBE
Structure: optimized geometry

Cell and atoms, written as extended XYZ:
```
12
Lattice="-2.194 -10.412 0.189 9.939 3.311 -1.873 0.534 -0.063 2.724" Properties=species:S:1:pos:R:3 pbc="T T T"
Ge 1.402 -7.488 0.259
Ge 7.391 -2.636 0.611
Ge 3.662 -5.544 -0.139
Ge 6.878 0.323 0.781
Ge 0.888 -4.529 0.428
Ge 4.617 -1.620 1.179
F -0.357 -7.043 0.614
F 6.127 -3.967 0.829
F 4.157 -7.320 -0.278
F 8.637 -0.122 0.425
F 2.153 -3.198 0.211
F 4.123 0.156 1.317
```

- D(E_F): 5.56 states/eV per cell
- Space-group type: P6_3/m

Arrangement S

Compound: GeF
Source: the Alexandria database
Functional: GGA-PBE
Structure: optimized geometry

Cell and atoms, written as extended XYZ:
```
12
Lattice="-3.952 -4.756 -1.998 3.496 -4.450 3.678 -3.108 0.890 4.030" Properties=species:S:1:pos:R:3 pbc="T T T"
Ge -3.963 -3.594 -0.531
Ge -1.648 -7.080 5.335
Ge -1.586 -0.733 0.671
Ge -0.074 -5.185 6.131
Ge -0.148 -1.734 4.421
Ge -0.675 -4.423 1.296
F -3.053 -6.105 4.061
F -2.581 -4.562 0.773
F -0.831 -3.430 5.184
F -0.852 -2.481 1.647
F 1.319 -2.666 3.737
F -3.353 -3.144 3.550
```

- D(E_F): 3.86 states/eV per cell
- Space-group type: Pmn2_1

Each structure's energy above the most stable one, in kJ/mol of atoms: arrangement P 65.1; arrangement Q 58.6; arrangement R 15.1; arrangement S 0.0.